Record 1
The following is a DFT calculation (GGA+U) of an optimized crystal structure of CsAcNiF6.

Unit cell a=7.698 b=8.378 c=10.413 alpha=90.00 beta=90.00 gamma=90.00
Space group Imma (No. 74)
Symmetry-distinct sites (fractional):
Cs 0.000 0.250 0.083 (multiplicity 4)
Ac 0.000 0.000 0.500 (multiplicity 4)
Ni 0.250 0.250 0.750 (multiplicity 4)
F 0.000 0.250 0.378 (multiplicity 4)
F 0.000 0.250 0.676 (multiplicity 4)
F 0.229 0.076 0.883 (multiplicity 16)


Record 2
The following is a DFT calculation (GGA+U) of an optimized crystal structure of Cs2AcNi3F12.

Unit cell a=7.5902 b=7.5902 c=17.8257 alpha=90.00 beta=90.00 gamma=120.00
Space group R-3m (No. 166, hexagonal axes)
Symmetry-distinct sites (fractional):
Cs 0.0000 0.0000 0.1083 (multiplicity 6)
Ac 0.0000 0.0000 0.5000 (multiplicity 3)
Ni 0.0000 0.5000 0.0000 (multiplicity 9)
F 0.0129 0.5065 0.8890 (multiplicity 18)
F 0.0859 0.5429 0.3195 (multiplicity 18)


no.,DOS(E_F) (states/eV/cell),electronic total energy (Ha/atom)
1,0.00,-0.19390
2,18.51,-0.17176